Material: Pr6Ge2TeCl3
Method: DFT, PBE
State: relaxed Values from VASP.

Values from the calculation:
magnetization: 0.000 μB/f.u.
volume: 339.5 Å³ per cell
symmetry: C2/m, No. 12
raw formation energy: -1.317 eV/atom

Quantum ESPRESSO input file:
```
&SYSTEM
  ibrav = 0, nat = 12, ntyp = 4
/
ATOMIC_SPECIES
Pr 140.91 Pr.upf
Ge 72.64 Ge.upf
Te 127.60 Te.upf
Cl 35.45 Cl.upf
ATOMIC_POSITIONS angstrom
Pr -0.187 0.000 2.294
Pr 4.734 0.000 7.471
Pr 5.508 0.000 3.560
Pr 11.587 0.000 4.836
Pr 12.362 0.000 0.925
Pr 17.283 0.000 6.103
Ge 2.646 0.000 2.832
Ge 14.449 0.000 5.564
Te 9.268 0.000 0.000
Cl 1.787 0.000 7.014
Cl 8.548 0.000 4.198
Cl 15.308 0.000 1.383
CELL_PARAMETERS angstrom
9.268 -2.181 0.000
9.268 2.181 0.000
-1.440 0.000 8.396
```

=====

Material: PdRh3W
Method: DFT, PBE
State: relaxed Values from VASP.

Values from the calculation:
magnetization: 0.000 μB/f.u.
DFT formation energy: 3.23 eV/f.u.
volume: 173.0 Å³ per cell
symmetry: Cmcm, No. 63

Quantum ESPRESSO input file:
```
&SYSTEM
  ibrav = 0, nat = 10, ntyp = 3
/
ATOMIC_SPECIES
Pd 106.42 Pd.upf
Rh 102.91 Rh.upf
W 183.84 W.upf
ATOMIC_POSITIONS angstrom
Pd 0.000 0.000 0.000
Pd 0.000 0.000 2.324
Rh 3.507 3.004 3.486
Rh 2.214 0.791 3.486
Rh 2.214 -0.791 1.162
Rh 4.800 0.791 3.486
Rh 4.800 -0.791 1.162
Rh 3.507 -3.004 1.162
W 3.507 1.463 1.162
W 3.507 -1.463 3.486
CELL_PARAMETERS angstrom
3.507 -5.308 0.000
3.507 5.308 0.000
0.000 0.000 4.648
```

=====

Material: Tb2Zn6In
Method: DFT, PBE
State: relaxed Values from VASP.

Values from the calculation:
magnetization: 0.000 μB/f.u.
DFT formation energy: -2.65 eV/f.u.
volume: 173.1 Å³ per cell
symmetry: P-3m1, No. 164

Quantum ESPRESSO input file:
```
&SYSTEM
  ibrav = 0, nat = 9, ntyp = 3
/
ATOMIC_SPECIES
Tb 158.93 Tb.upf
Zn 65.41 Zn.upf
In 114.82 In.upf
ATOMIC_POSITIONS angstrom
Tb 0.000 3.367 0.884
Tb 2.916 1.683 4.993
Zn 0.000 1.850 3.836
Zn -1.314 4.125 3.836
Zn 1.602 0.925 2.042
Zn 1.314 4.125 3.836
Zn 4.230 0.925 2.042
Zn 2.916 3.201 2.042
In 0.000 0.000 0.000
CELL_PARAMETERS angstrom
5.832 0.000 0.000
-2.916 5.050 0.000
0.000 0.000 5.878
```

=====

Material: Nd2YH8
Method: DFT, PBE
State: relaxed Values from VASP.

Values from the calculation:
magnetization: 0.000 μB/f.u.
volume: 113.6 Å³ per cell
total DFT energy (no corrections): -4.48 eV per atom
symmetry: Immm, No. 71

Quantum ESPRESSO input file:
```
&SYSTEM
  ibrav = 0, nat = 11, ntyp = 3
/
ATOMIC_SPECIES
Nd 144.24 Nd.upf
Y 88.91 Y.upf
H 1.01 H.upf
ATOMIC_POSITIONS angstrom
Nd 0.000 0.000 1.919
Nd 0.000 0.000 9.455
Y 0.000 0.000 5.687
H 1.901 1.287 -1.761
H 0.000 1.292 0.000
H 1.901 0.000 3.795
H 1.901 1.287 1.761
H 0.000 1.342 3.927
H 0.000 2.628 1.893
H 0.000 3.964 0.000
H 0.000 1.342 7.448
CELL_PARAMETERS angstrom
-1.901 2.628 5.687
1.901 -2.628 5.687
1.901 2.628 -5.687
```

=====

Material: Pr2MgP3Rh12
Method: DFT, PBE
State: relaxed Values from VASP.

Values from the calculation:
magnetization: 0.000 μB/f.u.
DFT formation energy: -4.68 eV/f.u.
volume: 299.3 Å³ per cell
symmetry: R-3m, No. 166

Quantum ESPRESSO input file:
```
&SYSTEM
  ibrav = 0, nat = 18, ntyp = 4
/
ATOMIC_SPECIES
Pr 140.91 Pr.upf
Mg 24.30 Mg.upf
P 30.97 P.upf
Rh 102.91 Rh.upf
ATOMIC_POSITIONS angstrom
Pr 0.000 0.000 1.633
Pr 0.000 0.000 11.329
Mg 0.000 0.000 6.481
P -2.236 -1.291 4.320
P -2.236 1.291 8.641
P 0.000 2.582 4.320
Rh 0.000 -2.341 3.721
Rh -2.027 1.170 3.721
Rh -2.229 -1.287 6.548
Rh 0.000 -2.574 6.413
Rh -2.229 1.287 6.413
Rh -2.027 -1.170 9.240
Rh 2.027 1.170 3.721
Rh 2.229 -1.287 6.548
Rh 0.000 2.574 6.548
Rh 2.229 1.287 6.413
Rh 2.027 -1.170 9.240
Rh 0.000 2.341 9.240
CELL_PARAMETERS angstrom
4.472 2.582 4.320
-4.472 2.582 4.320
0.000 -5.164 4.320
```

=====

Material: LaMgGa4Cu2
Method: DFT, PBE
State: relaxed Values from VASP.

Values from the calculation:
magnetization: 0.000 μB/f.u.
DFT formation energy: -2.21 eV/f.u.
volume: 150.2 Å³ per cell
symmetry: R-3m, No. 166

Quantum ESPRESSO input file:
```
&SYSTEM
  ibrav = 0, nat = 8, ntyp = 4
/
ATOMIC_SPECIES
La 138.91 La.upf
Mg 24.30 Mg.upf
Ga 69.72 Ga.upf
Cu 63.55 Cu.upf
ATOMIC_POSITIONS angstrom
La 0.000 0.000 0.000
Mg 0.000 0.000 14.078
Ga 0.000 0.000 3.371
Ga 0.000 0.000 11.274
Ga 0.000 0.000 16.882
Ga 0.000 0.000 24.785
Cu 0.000 0.000 6.589
Cu 0.000 0.000 21.566
CELL_PARAMETERS angstrom
2.149 1.241 9.385
-2.149 1.241 9.385
0.000 -2.482 9.385
```

=====

Material: YGaRe2Mo
Method: DFT, PBE
State: relaxed Values from VASP.

Values from the calculation:
magnetization: 0.000 μB/f.u.
DFT formation energy: 7.23 eV/f.u.
volume: 118.8 Å³ per cell
symmetry: P4/mmm, No. 123

Quantum ESPRESSO input file:
```
&SYSTEM
  ibrav = 0, nat = 5, ntyp = 4
/
ATOMIC_SPECIES
Y 88.91 Y.upf
Ga 69.72 Ga.upf
Re 186.21 Re.upf
Mo 95.94 Mo.upf
ATOMIC_POSITIONS angstrom
Y 0.000 0.000 0.000
Ga 2.359 2.359 0.000
Re 0.000 2.359 2.668
Re 2.359 0.000 2.668
Mo 0.000 0.000 2.668
CELL_PARAMETERS angstrom
4.719 0.000 0.000
0.000 4.719 0.000
0.000 0.000 5.335
```

=====

Material: ZrSbCl
Method: DFT, PBE
State: relaxed Values from VASP.

Values from the calculation:
magnetization: 0.000 μB/f.u.
volume: 65.6 Å³ per cell
symmetry: P-6m2, No. 187
raw formation energy: -0.726 eV/atom

Quantum ESPRESSO input file:
```
&SYSTEM
  ibrav = 0, nat = 3, ntyp = 3
/
ATOMIC_SPECIES
Zr 91.22 Zr.upf
Sb 121.76 Sb.upf
Cl 35.45 Cl.upf
ATOMIC_POSITIONS angstrom
Zr 0.000 0.000 0.000
Sb 0.000 2.719 1.707
Cl 2.355 1.359 0.000
CELL_PARAMETERS angstrom
4.709 0.000 0.000
-2.355 4.078 0.000
0.000 0.000 3.414
```